V2BRh | PBE-GGA | optimized geometry

Unit cell a=6.8250 b=6.8250 c=6.8250 alpha=24.51 beta=24.51 gamma=24.51
Fractional positions:
V (0.2282, 0.2282, 0.2282)
V (0.7718, 0.7718, 0.7718)
B (0.5000, 0.5000, 0.5000)
Rh (0.0000, 0.0000, 0.0000)

Calculated values
DFT formation energy	-0.31	eV per atom
Fermi-level density of states	3.55	states/eV/f.u.
total DFT energy (no corrections)	-8.3765	eV/atom

BaPmCd2 | PBE-GGA | optimized geometry

Unit cell a=3.9956 b=3.9956 c=8.2072 alpha=90.00 beta=90.00 gamma=90.00
Fractional positions:
Ba (0.0000, 0.0000, 0.0000)
Pm (0.0000, 0.0000, 0.5000)
Cd (0.5000, 0.5000, 0.2911)
Cd (0.5000, 0.5000, 0.7089)

Calculated values
DFT formation energy	-0.30	eV per atom
Fermi-level density of states	3.78	states/eV/f.u.
total DFT energy (no corrections)	-2.4248	eV/atom

Question: Which of these has the lowest total DFT energy (no corrections)?
Answer: V2BRh